LiRhWO6 | PBE+U | relaxed

Cell: 5.180 5.180 9.369 Å, 90.00 90.00 120.00°
Fractional coordinates of all 18 atoms:
Li: 0.000 0.000 0.000
Li: 0.000 0.000 0.500
Rh: 0.667 0.333 0.250
Rh: 0.333 0.667 0.750
W: 0.333 0.667 0.250
W: 0.667 0.333 0.750
O: 0.639 0.644 0.137
O: 0.005 0.361 0.137
O: 0.361 0.005 0.637
O: 0.995 0.639 0.863
O: 0.356 0.361 0.363
O: 0.005 0.644 0.363
O: 0.644 0.005 0.863
O: 0.639 0.995 0.363
O: 0.995 0.356 0.637
O: 0.356 0.995 0.137
O: 0.644 0.639 0.637
O: 0.361 0.356 0.863

Calculated values
**Spin magnetization**: 0.22 μB per atom
**Final energy**: -6.485 eV per atom
**V**: 12.097 A^3/atom